1.
Compound: Cr2SbP
Source: the Alexandria database
Functional: meta-GGA SCAN
Structure: single point on PBEsol structure Values from VASP.

```
&SYSTEM
  ibrav = 0, nat = 4, ntyp = 3
/
ATOMIC_SPECIES
P 30.97 P.upf
Cr 52.00 Cr.upf
Sb 121.76 Sb.upf
CELL_PARAMETERS angstrom
-2.9678 0.2625 -0.9810
0.5132 -2.2270 -2.1485
-1.6290 -4.0773 3.8371
ATOMIC_POSITIONS angstrom
P -0.6700 -1.6770 1.5782
Cr -1.7144 -2.2014 -0.4174
Cr -0.0230 -0.0576 0.0542
Sb -2.4907 -4.1444 1.4111
```

## Properties
* calculated total energy: -21.108 eV per atom
* size of the total moment: 0.334 μB per formula unit
* Fermi-level density of states: 2.1 states/eV/f.u.



2.
Compound: TlSbPb2
Source: the Alexandria database
Functional: meta-GGA SCAN
Structure: single point on PBEsol structure Values from VASP.

```
&SYSTEM
  ibrav = 0, nat = 4, ntyp = 3
/
ATOMIC_SPECIES
Pb 207.20 Pb.upf
Tl 204.38 Tl.upf
Sb 121.76 Sb.upf
CELL_PARAMETERS angstrom
-2.9501 -0.7324 -1.0130
0.3327 -4.8305 2.5237
-2.5686 2.7103 5.5262
ATOMIC_POSITIONS angstrom
Pb -3.4055 1.6586 3.6236
Pb -2.1132 0.3193 0.8896
Tl -1.1180 -1.0601 4.0249
Sb -1.3087 -2.7815 0.7554
```

## Properties
* calculated total energy: -65.278 eV per atom
* size of the total moment: 0.000 μB per formula unit
* Fermi-level density of states: 2.0 states/eV/f.u.
* relative energy among the computed polymorphs: 0.0 meV per atom



3.
Compound: LaSc2Hg
Source: the Alexandria database
Functional: meta-GGA SCAN
Structure: single point on PBEsol structure Values from VASP.

```
&SYSTEM
  ibrav = 0, nat = 4, ntyp = 3
/
ATOMIC_SPECIES
Sc 44.96 Sc.upf
Hg 200.59 Hg.upf
La 138.91 La.upf
CELL_PARAMETERS angstrom
-3.3791 0.0733 0.8935
0.6037 -2.3898 2.4792
1.4979 5.7648 5.1921
ATOMIC_POSITIONS angstrom
Sc 1.1792 4.5380 4.0872
Sc 0.3188 1.2267 1.1049
Hg -1.3877 -1.1582 1.6863
La -0.6387 1.7241 4.2824
```

## Properties
* calculated total energy: -35.234 eV per atom
* size of the total moment: 0.004 μB per formula unit
* Fermi-level density of states: 4.6 states/eV/f.u.
* formation energy: -298 meV/atom



4.
Compound: HfMnSb3
Source: the Alexandria database
Functional: meta-GGA SCAN
Structure: single point on PBEsol structure Values from VASP.

```
&SYSTEM
  ibrav = 0, nat = 5, ntyp = 3
/
ATOMIC_SPECIES
Sb 121.76 Sb.upf
Mn 54.94 Mn.upf
Hf 178.49 Hf.upf
CELL_PARAMETERS angstrom
4.9523 0.0000 0.0000
0.0000 4.9523 0.0000
0.0000 0.0000 4.9523
ATOMIC_POSITIONS angstrom
Sb 2.4761 0.0000 0.0000
Sb 0.0000 0.0000 2.4761
Sb 0.0000 2.4761 0.0000
Mn 0.0000 0.0000 0.0000
Hf 2.4761 2.4761 2.4761
```

## Properties
* calculated total energy: -37.977 eV per atom
* size of the total moment: 3.676 μB per formula unit
* Fermi-level density of states: 3.8 states/eV/f.u.



5.
Compound: K2CuTc
Source: the Alexandria database
Functional: meta-GGA SCAN
Structure: single point on PBEsol structure Values from VASP.

```
&SYSTEM
  ibrav = 0, nat = 4, ntyp = 3
/
ATOMIC_SPECIES
Cu 63.55 Cu.upf
K 39.10 K.upf
Tc 98.00 Tc.upf
CELL_PARAMETERS angstrom
-1.5679 1.4910 1.8502
-1.7915 -1.3455 1.7564
7.0058 -0.8436 8.8068
ATOMIC_POSITIONS angstrom
Cu 0.0000 0.0000 0.0000
K 0.8830 -0.1714 3.0766
K 2.7634 -0.5267 9.3368
Tc 1.8232 -0.3491 6.2067
```

## Properties
* calculated total energy: -15.538 eV per atom
* size of the total moment: 0.000 μB per formula unit
* Fermi-level density of states: 2.5 states/eV/f.u.
* formation energy: 1191 meV/atom



6.
Compound: Ba2HAu
Source: the Alexandria database
Functional: meta-GGA SCAN
Structure: single point on PBEsol structure Values from VASP.

```
&SYSTEM
  ibrav = 0, nat = 4, ntyp = 3
/
ATOMIC_SPECIES
Au 196.97 Au.upf
Ba 137.33 Ba.upf
H 1.01 H.upf
CELL_PARAMETERS angstrom
-4.9378 -2.0701 0.7342
-1.8497 -3.8264 -3.3382
-0.5668 -5.0781 1.7602
ATOMIC_POSITIONS angstrom
Au -3.6771 -5.4873 -0.4219
Ba -5.5157 -8.2309 -0.6329
Ba -1.8386 -2.7436 -0.2110
H 0.0000 0.0000 0.0000
```

## Properties
* calculated total energy: -38.361 eV per atom
* size of the total moment: 0.000 μB per formula unit
* Fermi-level density of states: 3.5 states/eV/f.u.



7.
Compound: SrRhN2
Source: the Alexandria database
Functional: meta-GGA SCAN
Structure: single point on PBEsol structure Values from VASP.

```
&SYSTEM
  ibrav = 0, nat = 8, ntyp = 3
/
ATOMIC_SPECIES
Sr 87.62 Sr.upf
Rh 102.91 Rh.upf
N 14.01 N.upf
CELL_PARAMETERS angstrom
4.9861 0.0000 0.0000
0.0000 4.9861 0.0000
-2.4931 -2.4931 5.0604
ATOMIC_POSITIONS angstrom
Sr 2.4931 2.4931 0.0000
Sr 2.4931 0.0000 2.5302
Rh 0.0000 0.0000 0.0000
Rh 0.0000 2.4931 2.5302
N 4.2368 1.2465 1.2651
N -1.2465 -1.7438 3.7953
N 1.2465 1.7438 3.7953
N 0.7493 3.7396 1.2651
```

## Properties
* calculated total energy: -18.755 eV per atom
* size of the total moment: 0.000 μB per formula unit
* Fermi-level density of states: 1.9 states/eV/f.u.
* relative energy among the computed polymorphs: 0.0 meV per atom



8.
Compound: Zr2V3Ge4
Source: the Alexandria database
Functional: meta-GGA SCAN
Structure: single point on PBEsol structure Values from VASP.

```
&SYSTEM
  ibrav = 0, nat = 36, ntyp = 3
/
ATOMIC_SPECIES
Ge 72.64 Ge.upf
Zr 91.22 Zr.upf
V 50.94 V.upf
CELL_PARAMETERS angstrom
6.5736 0.0000 0.0000
0.0000 6.6815 0.0000
0.0000 0.0000 12.6382
ATOMIC_POSITIONS angstrom
Ge 5.3147 2.3800 3.1595
Ge 0.2173 5.8310 3.1595
Ge 2.1267 0.3096 6.8649
Ge 1.1601 3.6503 0.5458
Ge 3.0695 2.4902 9.4786
Ge 6.3563 0.8505 9.4786
Ge 1.1601 3.6503 5.7733
Ge 5.4135 3.0312 6.8649
Ge 1.2589 4.3015 9.4786
Ge 4.5456 5.7208 9.4786
Ge 4.4469 6.3719 5.7733
Ge 4.4469 6.3719 0.5458
Ge 3.5041 4.1913 3.1595
Ge 2.1267 0.3096 12.0924
Ge 5.4135 3.0312 12.0924
Ge 2.0279 0.9607 3.1595
Zr 6.5024 5.5320 7.4862
Zr 3.2156 4.4903 7.4862
Zr 0.0712 1.1495 5.1520
Zr 0.0712 1.1495 1.1671
Zr 3.3580 2.1912 5.1520
Zr 3.3580 2.1912 1.1671
Zr 3.2156 4.4903 11.4711
Zr 6.5024 5.5320 11.4711
V 5.5032 3.2755 9.4786
V 1.0622 2.2646 11.0516
V 1.0622 2.2646 7.9057
V 4.3490 1.0761 11.0516
V 2.2164 0.0652 9.4786
V 2.2246 5.6054 4.7325
V 2.2246 5.6054 1.5866
V 5.5114 4.4169 1.5866
V 4.3490 1.0761 7.9057
V 5.5114 4.4169 4.7325
V 4.3572 6.6163 3.1595
V 1.0704 3.4060 3.1595
```

## Properties
* calculated total energy: -21.852 eV per atom
* size of the total moment: 0.000 μB per formula unit
* Fermi-level density of states: 4.4 states/eV/f.u.
* formation energy: -717 meV/atom



9.
Compound: BeCdMo2
Source: the Alexandria database
Functional: meta-GGA SCAN
Structure: single point on PBEsol structure Values from VASP.

```
&SYSTEM
  ibrav = 0, nat = 4, ntyp = 3
/
ATOMIC_SPECIES
Be 9.01 Be.upf
Mo 95.94 Mo.upf
Cd 112.41 Cd.upf
CELL_PARAMETERS angstrom
-4.3097 0.1975 -0.6568
-2.6645 -2.6828 2.1788
-2.6124 1.5784 3.1189
ATOMIC_POSITIONS angstrom
Be 0.0000 0.0000 0.0000
Mo -7.1900 -0.6801 3.4807
Mo -2.3967 -0.2267 1.1602
Cd -4.7933 -0.4534 2.3205
```

## Properties
* calculated total energy: -25.370 eV per atom
* size of the total moment: 0.000 μB per formula unit
* Fermi-level density of states: 3.3 states/eV/f.u.
* formation energy: 765 meV/atom
* relative energy among the computed polymorphs: 510.9 meV per atom



10.
Compound: Ta2InSi
Source: the Alexandria database
Functional: meta-GGA SCAN
Structure: single point on PBEsol structure Values from VASP.

```
&SYSTEM
  ibrav = 0, nat = 4, ntyp = 3
/
ATOMIC_SPECIES
Ta 180.95 Ta.upf
Si 28.09 Si.upf
In 114.82 In.upf
CELL_PARAMETERS angstrom
-1.8044 2.8376 -1.0413
-3.0907 -0.8602 3.0116
4.6371 1.4877 1.9693
ATOMIC_POSITIONS angstrom
Ta 0.1560 2.6157 0.9072
Ta -0.3124 3.4037 3.8662
Si -0.3969 0.8689 3.0555
In -2.4103 1.0309 1.0353
```

## Properties
* calculated total energy: -43.996 eV per atom
* size of the total moment: 0.000 μB per formula unit
* Fermi-level density of states: 3.4 states/eV/f.u.



11.
Compound: MnNbAgHg2
Source: the Alexandria database
Functional: meta-GGA SCAN
Structure: single point on PBEsol structure Values from VASP.

```
&SYSTEM
  ibrav = 0, nat = 5, ntyp = 4
/
ATOMIC_SPECIES
Hg 200.59 Hg.upf
Mn 54.94 Mn.upf
Ag 107.87 Ag.upf
Nb 92.91 Nb.upf
CELL_PARAMETERS angstrom
-3.8319 0.9616 -1.7549
-0.1923 -4.5012 -2.0468
-2.2826 -1.7362 4.0327
ATOMIC_POSITIONS angstrom
Hg -1.1413 -0.8681 2.0164
Hg -0.0961 -2.2506 -1.0234
Mn 0.0000 0.0000 0.0000
Ag -3.1533 -2.6379 0.1155
Nb -1.9159 0.4808 -0.8774
```

## Properties
* calculated total energy: -43.127 eV per atom
* size of the total moment: 1.172 μB per formula unit
* Fermi-level density of states: 1.8 states/eV/f.u.
* formation energy: 690 meV/atom



12.
Compound: Ga2FeO4
Source: the Alexandria database
Functional: meta-GGA SCAN
Structure: single point on PBEsol structure Values from VASP.

```
&SYSTEM
  ibrav = 0, nat = 14, ntyp = 3
/
ATOMIC_SPECIES
Ga 69.72 Ga.upf
O 16.00 O.upf
Fe 55.84 Fe.upf
CELL_PARAMETERS angstrom
5.6822 0.0000 0.0000
2.8411 5.1878 -0.0167
2.8411 1.6589 4.9154
ATOMIC_POSITIONS angstrom
Ga 8.5234 5.2381 1.8836
Ga 5.6822 3.4233 2.4494
Ga 2.8411 1.6085 3.0151
Ga 2.8411 0.0000 0.0000
O 2.8411 1.6012 1.1476
O 7.0298 4.2841 1.2010
O 4.3346 4.2841 1.2010
O 4.3346 2.5625 3.6977
O 7.0298 2.5625 3.6977
O 8.5234 5.2455 3.7511
O 5.6822 1.8202 1.3044
O 5.6822 5.0264 3.5943
Fe 4.2617 2.5939 -0.0083
Fe 1.4206 2.5939 -0.0083
```

## Properties
* calculated total energy: -12.655 eV per atom
* size of the total moment: 4.048 μB per formula unit
* Fermi-level density of states: 1.6 states/eV/f.u.